Material: DyMgZnPb
Method: DFT, PBE
State: relaxed

Values from the calculation:
- ΔE_f (eV per atom) = -0.30
- Fermi-level density of states (states/eV per atom) = 0.376

a b c (Å): 4.3254 4.6166 4.6780
angles (deg): 90.00 90.00 90.00
Positions (direct):
Mg  0.0000  0.0000  0.0000
Zn  0.5000  0.5000  0.0000
Pb  0.5000  0.0000  0.5000
Dy  0.0000  0.5000  0.5000

=====

Material: CePuSn
Method: DFT, PBE
State: relaxed

Values from the calculation:
- ΔE_f (eV per atom) = -0.32
- Fermi-level density of states (states/eV per atom) = 1.991

a b c (Å): 3.4334 5.1051 5.1051
angles (deg): 120.00 90.00 90.00
Each line ends with the local moment (μB).
Positions (direct):
Pu  0.1665  0.3333  0.6667  5.76
Ce  0.1668  0.0000  0.0000  1.10
Sn  0.6667  0.6667  0.3333  -0.06

=====

Material: ThTiSb2
Method: DFT, PBE
State: relaxed

Values from the calculation:
- E_form (uncorrected) (meV/atom) = -446
- Fermi-level density of states (states/eV per atom) = 1.074

a b c (Å): 3.6083 3.6083 7.4799
angles (deg): 90.00 90.00 90.00
Each line ends with the local moment (μB).
Positions (direct):
Sb  0.0000  0.0000  0.2140  -0.01
Sb  0.0000  0.0000  0.7860  -0.01
Th  0.5000  0.5000  0.5000  0.01
Ti  0.5000  0.5000  0.0000  0.36

=====

Material: BaTi3V
Method: DFT, PBE
State: relaxed

Values from the calculation:
- ΔE_f (eV per atom) = 0.71
- Fermi-level density of states (states/eV per atom) = 2.088

a b c (Å): 4.8775 4.8775 4.8775
angles (deg): 90.00 90.00 90.00
Positions (direct):
Ti  0.0000  0.0000  0.5000
Ti  0.5000  0.0000  0.0000
Ti  0.0000  0.5000  0.0000
Ba  0.5000  0.5000  0.5000
V  0.0000  0.0000  0.0000

=====

Material: HoGa2Os
Method: DFT, PBE
State: relaxed

Values from the calculation:
- ΔE_f (eV per atom) = -0.36
- Fermi-level density of states (states/eV per atom) = 0.463

a b c (Å): 4.2426 4.2426 5.4274
angles (deg): 66.99 66.99 60.00
Positions (direct):
Ho  0.0000  0.0000  0.0000
Os  0.5000  0.5000  0.5000
Ga  0.7824  0.7824  0.6527
Ga  0.2176  0.2176  0.3473

=====

Material: YTaRu
Method: DFT, PBE
State: relaxed

Values from the calculation:
- ΔE_f (eV per atom) = 0.17
- Fermi-level density of states (states/eV per atom) = 1.103

a b c (Å): 4.5555 4.5555 4.5555
angles (deg): 60.00 60.00 60.00
Positions (direct):
Y  0.5000  0.5000  0.5000
Ta  0.0000  0.0000  0.0000
Ru  0.2500  0.2500  0.2500

=====

Material: BeIn2Cu
Method: DFT, PBE
State: relaxed

Values from the calculation:
- ΔE_f (eV per atom) = 0.54
- Fermi-level density of states (states/eV per atom) = 0.219

a b c (Å): 4.7228 4.7228 4.7228
angles (deg): 60.00 60.00 60.00
Positions (direct):
In  0.0000  0.0000  0.0000
In  0.2500  0.2500  0.2500
Be  0.5000  0.5000  0.5000
Cu  0.7500  0.7500  0.7500

=====

Material: TiP2PtS
Method: DFT, PBE
State: relaxed

Values from the calculation:
- E_form (uncorrected) (meV/atom) = 488
- Fermi-level density of states (states/eV per atom) = 0.882

a b c (Å): 4.6932 4.6932 4.4775
angles (deg): 90.00 90.00 90.00
Positions (direct):
P  0.5000  0.0000  0.0000
P  0.0000  0.5000  0.0000
Ti  0.0000  0.0000  0.0000
S  0.0000  0.0000  0.5000
Pt  0.5000  0.5000  0.5000

=====

Material: CsNb2Ru
Method: DFT, PBE
State: relaxed

Values from the calculation:
- ΔE_f (eV per atom) = 1.54
- Fermi-level density of states (states/eV per atom) = 1.288

a b c (Å): 5.4075 5.4075 9.2979
angles (deg): 73.09 73.09 90.00
Positions (direct):
Cs  0.0000  0.0000  0.0000
Cs  0.7500  0.2500  0.5000
Ru  0.2500  0.7500  0.5000
Ru  0.5000  0.5000  0.0000
Nb  0.4125  0.1250  0.2500
Nb  0.8750  0.6625  0.7500
Nb  0.3750  0.5875  0.7500
Nb  0.3375  0.6250  0.2500

=====

Material: K3CaPm2O6
Method: DFT, PBE
State: relaxed

Values from the calculation:
- E_form (uncorrected) (meV/atom) = -2374
- Fermi-level density of states (states/eV per atom) = 1.130

a b c (Å): 6.2251 6.2251 6.6114
angles (deg): 99.00 99.00 120.02
Each line ends with the local moment (μB).
Positions (direct):
O  0.9356  0.5945  0.8066  0.16
O  0.2765  0.2765  0.8075  0.15
O  0.0644  0.4055  0.1934  0.16
O  0.7235  0.7235  0.1925  0.15
O  0.4055  0.0644  0.1934  0.16
O  0.5945  0.9356  0.8066  0.16
K  0.8371  0.1629  0.5000  0.00
K  0.1629  0.8371  0.5000  0.00
K  0.5000  0.5000  0.5000  0.00
Pm  0.3333  0.6667  0.0000  -0.01
Pm  0.6667  0.3333  0.0000  -0.01
Ca  0.0000  0.0000  0.0000  -0.01

=====

Material: ErSc2In
Method: DFT, PBE
State: relaxed

Values from the calculation:
- ΔE_f (eV per atom) = -0.13
- Fermi-level density of states (states/eV per atom) = 1.508

a b c (Å): 5.1750 5.1750 5.1750
angles (deg): 60.00 60.00 60.00
Each line ends with the local moment (μB).
Positions (direct):
Sc  0.2500  0.2500  0.2500  0.30
Sc  0.7500  0.7500  0.7500  0.30
Er  0.0000  0.0000  0.0000  0.40
In  0.5000  0.5000  0.5000  -0.01

=====

Material: UGaNi
Method: DFT, PBE
State: relaxed

Values from the calculation:
- ΔE_f (eV per atom) = -0.20
- Fermi-level density of states (states/eV per atom) = 1.705

a b c (Å): 2.9479 2.9479 5.9932
angles (deg): 104.24 104.24 90.00
Each line ends with the local moment (μB).
Positions (direct):
U  0.0106  0.0106  0.0213  1.54
Ga  0.3066  0.3066  0.6132  -0.02
Ni  0.6828  0.6828  0.3655  0.00

=====

| no. | magnetization (μB/f.u.) |
| --- | --- |
| 1 | 0.000 |
| 2 | 7.401 |
| 3 | 0.457 |
| 4 | 0.072 |
| 5 | 0.000 |
| 6 | 0.000 |
| 7 | 0.000 |
| 8 | 0.000 |
| 9 | 0.001 |
| 10 | 1.148 |
| 11 | 1.435 |
| 12 | 1.591 |